1 | ## AlCd2Hg (GGA-PBE)

Data for an optimized crystal structure of AlCd2Hg.

Unit cell a=3.2162 b=3.2162 c=10.7954 alpha=90.00 beta=90.00 gamma=126.53
Positions (direct):
Al1 0.5000 0.5000 0.7500
Hg1 0.5000 0.5000 0.2500
Cd1 0.0000 0.0000 0.9888
Cd2 0.0000 0.0000 0.5112

Calculated values
The calculated volume is 89.7 Å³ per cell. The space group is No. 65.

---

2 | ## AlCd2Hg (GGA-PBE)

Data for an optimized crystal structure of AlCd2Hg.

Unit cell a=5.0281 b=5.0281 c=5.0281 alpha=60.00 beta=60.00 gamma=60.00
Positions (direct):
Al1 0.5000 0.5000 0.5000
Hg1 0.7500 0.7500 0.7500
Cd1 0.0000 0.0000 0.0000
Cd2 0.2500 0.2500 0.2500

Calculated values
The calculated volume is 89.9 Å³ per cell. The space group is No. 216.

---

3 | ## AlCd2Hg (GGA-PBE)

Data for an optimized crystal structure of AlCd2Hg.

Unit cell a=5.8979 b=5.8979 c=5.2326 alpha=77.03 beta=77.03 gamma=29.79
Positions (direct):
Al1 0.7500 0.7500 0.7500
Hg1 0.2500 0.2500 0.2500
Cd1 0.0183 0.0183 0.9881
Cd2 0.4817 0.4817 0.5119

Calculated values
The calculated volume is 88.0 Å³ per cell. The space group is No. 12.

---

Short version: 3 is the most stable of them.

---

1 | ## Al2Cd2Hg (GGA-PBE)

Data for an optimized crystal structure of Al2Cd2Hg.

Unit cell a=8.5686 b=8.5686 c=3.0329 alpha=90.00 beta=90.00 gamma=90.00
Positions (direct):
Al1 0.1132 0.6132 0.5000
Al2 0.6132 0.8868 0.5000
Al3 0.8868 0.3868 0.5000
Al4 0.3868 0.1132 0.5000
Hg1 0.0000 0.0000 0.0000
Hg2 0.5000 0.5000 0.0000
Cd1 0.3172 0.8172 0.0000
Cd2 0.8172 0.6828 0.0000
Cd3 0.6828 0.1828 0.0000
Cd4 0.1828 0.3172 0.0000

Calculated values
The calculated volume is 222.7 Å³ per cell. The space group is No. 127.

---

2 | ## Al2Cd2Hg (GGA-PBE)

Data for an optimized crystal structure of Al2Cd2Hg.

Unit cell a=3.9835 b=3.9835 c=7.6899 alpha=74.99 beta=74.99 gamma=90.00
Positions (direct):
Al1 0.7500 0.2500 0.5000
Al2 0.2500 0.7500 0.5000
Hg1 0.0000 0.0000 0.0000
Cd1 0.3980 0.3980 0.2040
Cd2 0.6020 0.6020 0.7960

Calculated values
The calculated volume is 113.5 Å³ per cell. The space group is No. 139.

---

3 | ## Al2Cd2Hg (GGA-PBE)

Data for an optimized crystal structure of Al2Cd2Hg.

Unit cell a=4.2091 b=4.2091 c=7.0825 alpha=72.71 beta=72.71 gamma=90.00
Positions (direct):
Al1 0.4007 0.4007 0.1986
Al2 0.5993 0.5993 0.8014
Hg1 0.0000 0.0000 0.0000
Cd1 0.7500 0.2500 0.5000
Cd2 0.2500 0.7500 0.5000

Calculated values
The calculated volume is 113.9 Å³ per cell. The space group is No. 139.

---

4 | ## Al2Cd2Hg (GGA-PBE)

Data for an optimized crystal structure of Al2Cd2Hg.

Unit cell a=6.9726 b=6.9726 c=4.4975 alpha=90.00 beta=90.00 gamma=90.00
Positions (direct):
Al1 0.3642 0.8642 0.0000
Al2 0.8642 0.6358 0.0000
Al3 0.6358 0.1358 0.0000
Al4 0.1358 0.3642 0.0000
Hg1 0.0000 0.0000 0.0000
Hg2 0.5000 0.5000 0.0000
Cd1 0.1668 0.6668 0.5000
Cd2 0.6668 0.8332 0.5000
Cd3 0.8332 0.3332 0.5000
Cd4 0.3332 0.1668 0.5000

Calculated values
The calculated volume is 218.7 Å³ per cell. The space group is No. 127.

---

Short version: 4 is the most stable of them.

---

1 | ## AlCd2Hg2 (GGA-PBE)

Data for an optimized crystal structure of AlCd2Hg2.

Unit cell a=7.5937 b=7.5937 c=4.2280 alpha=90.00 beta=90.00 gamma=90.00
Positions (direct):
Al1 0.0000 0.0000 0.0000
Al2 0.5000 0.5000 0.0000
Hg1 0.1647 0.6647 0.5000
Hg2 0.6647 0.8353 0.5000
Hg3 0.8353 0.3353 0.5000
Hg4 0.3353 0.1647 0.5000
Cd1 0.3595 0.8595 0.0000
Cd2 0.8595 0.6405 0.0000
Cd3 0.6405 0.1405 0.0000
Cd4 0.1405 0.3595 0.0000

Calculated values
The calculated volume is 243.8 Å³ per cell. The space group is No. 127.

---

2 | ## AlCd2Hg2 (GGA-PBE)

Data for an optimized crystal structure of AlCd2Hg2.

Unit cell a=7.2963 b=7.2963 c=4.4825 alpha=90.00 beta=90.00 gamma=90.00
Positions (direct):
Al1 0.0000 0.0000 0.0000
Al2 0.5000 0.5000 0.0000
Hg1 0.3468 0.8468 0.0000
Hg2 0.8468 0.6532 0.0000
Hg3 0.6532 0.1532 0.0000
Hg4 0.1532 0.3468 0.0000
Cd1 0.1545 0.6545 0.5000
Cd2 0.6545 0.8455 0.5000
Cd3 0.8455 0.3455 0.5000
Cd4 0.3455 0.1545 0.5000

Calculated values
The calculated volume is 238.6 Å³ per cell. The space group is No. 127.

---

Short version: 2 is the most stable of them.

---

1 | ## AlCd3Hg (GGA-PBE)

Data for an optimized crystal structure of AlCd3Hg.

Unit cell a=5.3263 b=5.3263 c=5.3263 alpha=90.00 beta=90.00 gamma=90.00
Positions (direct):
Al1 0.0000 0.0000 0.0000
Hg1 0.5000 0.5000 0.5000
Cd1 0.0000 0.5000 0.0000
Cd2 0.0000 0.0000 0.5000
Cd3 0.5000 0.0000 0.0000

Calculated values
The calculated volume is 151.1 Å³ per cell. The space group is No. 221.

---

2 | ## AlCd3Hg (GGA-PBE)

Data for an optimized crystal structure of AlCd3Hg.

Unit cell a=5.3893 b=5.3893 c=5.3893 alpha=90.00 beta=90.00 gamma=90.00
Positions (direct):
Al1 0.5000 0.5000 0.5000
Hg1 0.0000 0.0000 0.0000
Cd1 0.0000 0.5000 0.0000
Cd2 0.0000 0.0000 0.5000
Cd3 0.5000 0.0000 0.0000

Calculated values
The calculated volume is 156.5 Å³ per cell. The space group is No. 221.

---

Short version: 1 is the most stable of them.